# 1
DFT (PBE) results for SrEuTl2 after structural relaxation.

The structure belongs to space group P4/mmm (No. 123); the cell edges are 4.043, 4.043 and 8.079 Å and the angles 90.00°, 90.00° and 90.00°. The distinct sites, in fractional coordinates, are Sr at (0.000, 0.000, 0.000), Eu at (0.000, 0.000, 0.500) and Tl at (0.500, 0.500, 0.263).

As for the formation energy from the elements: -0.4314 eV per atom. The density of states at the Fermi level comes out at 10.211 states/eV/f.u.

# 2
DFT (PBE) results for TaCoRe2 after structural relaxation.

The structure belongs to space group C2/m (No. 12); the cell edges are 9.191, 2.776 and 4.713 Å and the angles 90.00°, 101.22° and 90.00°. The distinct sites, in fractional coordinates, are Ta at (0.000, 0.000, 0.000), Co at (0.000, 0.500, 0.500) and Re at (0.233, 0.000, 0.731).

As for the formation energy from the elements: 0.0348 eV per atom. The density of states at the Fermi level comes out at 3.817 states/eV/f.u. The distance to the lowest polymorph of the same formula comes out at 24 kJ/mol of formula units.

# 3
DFT (PBE) results for SrAgI2 after structural relaxation.

The structure belongs to space group I-42d (No. 122); the cell edges are 5.921, 5.921 and 19.370 Å and the angles 90.00°, 90.00° and 90.00°. The distinct sites, in fractional coordinates, are Sr at (0.000, 0.000, 0.000), Ag at (0.000, 0.000, 0.500) and I at (0.228, 0.250, 0.625).

The density of states at the Fermi level comes out at 0.871 states/eV/f.u. The distance to the lowest polymorph of the same formula comes out at 34 kJ/mol of formula units.

# 4
DFT (PBE) results for RbTh2CuS5 after structural relaxation.

The structure belongs to space group I4/mcm (No. 140); the cell edges are 7.915, 7.915 and 13.736 Å and the angles 90.00°, 90.00° and 90.00°. The distinct sites, in fractional coordinates, are Rb at (0.000, 0.000, 0.250), Th at (0.166, 0.334, 0.000), Cu at (0.000, 0.500, 0.250), S at (0.000, 0.000, 0.000) and S at (0.142, 0.358, 0.374).

The value obtained for the total energy is -6.090 eV per atom.

# 5
DFT (PBE) results for LiLa2PbC after structural relaxation.

The structure belongs to space group P4/mmm (No. 123); the cell edges are 5.219, 5.219 and 4.573 Å and the angles 90.00°, 90.00° and 90.00°. The distinct sites, in fractional coordinates, are Li at (0.000, 0.000, 0.000), La at (0.000, 0.500, 0.500), Pb at (0.500, 0.500, 0.000) and C at (0.000, 0.000, 0.500).

As for the formation energy from the elements: -0.2305 eV per atom. The density of states at the Fermi level comes out at 5.603 states/eV/f.u.

# 6
DFT (PBE) results for Mg2ZrFe after structural relaxation.

The structure belongs to space group Cmmm (No. 65); the cell edges are 5.577, 9.636 and 2.836 Å and the angles 90.00°, 90.00° and 90.00°. The distinct sites, in fractional coordinates, are Mg at (0.250, 0.250, 0.000), Zr at (0.000, 0.000, 0.500) and Fe at (0.000, 0.500, 0.500).

As for the formation energy from the elements: 0.2889 eV per atom. The density of states at the Fermi level comes out at 4.314 states/eV/f.u.

What is the formula in the fourth record? RbTh2CuS5